1.
DFT (PBE) results for a relaxed LiCoNiOs crystal.

Unit cell a=4.0957 b=4.0957 c=4.0957 alpha=60.00 beta=60.00 gamma=60.00
Atoms (fractional coordinates):
1 Li 0.0000 0.0000 0.0000
2 Co 0.2500 0.2500 0.2500
3 Ni 0.7500 0.7500 0.7500
4 Os 0.5000 0.5000 0.5000

## Properties
Space group: No. 216
Total moment: 0.83 μB per atom
Energy of formation from the pure elements: 0.24 eV per atom


2.
DFT (PBE) results for a relaxed LiCoNi2Os crystal.

Unit cell a=4.4575 b=4.4575 c=4.4904 alpha=90.00 beta=90.00 gamma=90.00
Atoms (fractional coordinates):
1 Li 0.0000 0.0000 0.0000
2 Co 0.5000 0.5000 0.0000
3 Ni 0.0000 0.5000 0.5000
4 Ni 0.5000 0.0000 0.5000
5 Os 0.0000 0.0000 0.5000

## Properties
Space group: No. 123
Total moment: 0.43 μB per atom
Energy of formation from the pure elements: 1.52 eV per atom


Question: What is the energy of formation from the pure elements in the second record?
Answer: 1.52 eV per atom


Question: What is the formula in the first record?
Answer: LiCoNiOs


Question: Which of these has the lowest energy of formation from the pure elements?
Answer: LiCoNiOs


Copy entry 2 word for word.
DFT (PBE) results for a relaxed LiCoNi2Os crystal.

Unit cell a=4.4575 b=4.4575 c=4.4904 alpha=90.00 beta=90.00 gamma=90.00
Atoms (fractional coordinates):
1 Li 0.0000 0.0000 0.0000
2 Co 0.5000 0.5000 0.0000
3 Ni 0.0000 0.5000 0.5000
4 Ni 0.5000 0.0000 0.5000
5 Os 0.0000 0.0000 0.5000

## Properties
Space group: No. 123
Total moment: 0.43 μB per atom
Energy of formation from the pure elements: 1.52 eV per atom